[1]
Material: Pr4HOsI2
Method: DFT, PBE
State: relaxed

abc: 6.925 4.158 8.507
angles: 90.00 106.36 90.00
Fractional positions:
1 Pr 0.228 0.000 0.187
2 Pr 0.263 0.500 0.815
3 Pr 0.737 0.500 0.185
4 Pr 0.772 0.000 0.813
5 H 0.000 0.500 0.000
6 Os 0.500 0.000 0.000
7 I 0.000 0.000 0.500
8 I 0.500 0.500 0.500

Computed properties:
- Calculated volume: 235.0 Å³/cell
- E_tot: -5.18 eV per atom
- Space-group type: P2/m (10)

---

[2]
Material: Rb2HOsI6
Method: DFT, PBE
State: relaxed

abc: 7.913 7.913 7.913
angles: 111.83 111.83 104.85
Fractional positions:
1 Rb 0.250 0.750 0.500
2 Rb 0.750 0.250 0.500
3 H 0.000 0.000 0.000
4 Os 0.500 0.500 0.000
5 I 0.200 0.200 0.000
6 I 0.286 0.286 0.571
7 I 0.286 0.714 0.000
8 I 0.714 0.286 0.000
9 I 0.714 0.714 0.429
10 I 0.800 0.800 0.000

Computed properties:
- Calculated volume: 379.5 Å³/cell
- E_tot: -2.98 eV per atom
- Space-group type: I4/mmm (139)

---

[3]
Material: HOsRhI2
Method: DFT, PBE
State: relaxed

abc: 5.439 5.439 4.790
angles: 90.00 90.00 90.00
Fractional positions:
1 H 0.000 0.000 0.000
2 Os 0.500 0.500 0.500
3 Rh 0.500 0.500 0.000
4 I 0.000 0.500 0.500
5 I 0.500 0.000 0.500

Computed properties:
- Calculated volume: 141.7 Å³/cell
- E_tot: -3.63 eV per atom
- Space-group type: P4/mmm (123)

---

[4]
Material: HOsS2I
Method: DFT, PBE
State: relaxed

abc: 4.694 4.694 3.760
angles: 90.00 90.00 90.00
Fractional positions:
1 H 0.000 0.000 0.000
2 Os 0.000 0.000 0.500
3 S 0.000 0.500 0.500
4 S 0.500 0.000 0.500
5 I 0.500 0.500 0.000

Computed properties:
- Calculated volume: 82.9 Å³/cell
- E_tot: -4.37 eV per atom
- Space-group type: P4/mmm (123)

---

[5]
Material: Sb2HOsI
Method: DFT, PBE
State: relaxed

abc: 5.044 5.044 6.009
angles: 90.00 90.00 90.00
Fractional positions:
1 Sb 0.000 0.500 0.000
2 Sb 0.500 0.000 0.000
3 H 0.000 0.000 0.500
4 Os 0.500 0.500 0.000
5 I 0.500 0.500 0.500

Computed properties:
- Calculated volume: 152.9 Å³/cell
- E_tot: -3.91 eV per atom
- Space-group type: P4/mmm (123)

---

[6]
Material: Sb2HOsI
Method: DFT, PBE
State: relaxed

abc: 4.338 4.338 5.152
angles: 90.00 90.00 90.00
Fractional positions:
1 Sb 0.000 0.500 0.000
2 Sb 0.500 0.000 0.000
3 H 0.000 0.000 0.000
4 Os 0.500 0.500 0.500
5 I 0.000 0.000 0.500

Computed properties:
- Calculated volume: 96.9 Å³/cell
- E_tot: -3.69 eV per atom
- Space-group type: P4/mmm (123)

---

[7]
Material: HOs2SeI
Method: DFT, PBE
State: relaxed

abc: 4.937 4.937 5.634
angles: 90.00 90.00 90.00
Fractional positions:
1 H 0.000 0.000 0.000
2 Os 0.000 0.500 0.500
3 Os 0.500 0.000 0.500
4 Se 0.500 0.500 0.000
5 I 0.500 0.500 0.500

Computed properties:
- Calculated volume: 137.3 Å³/cell
- E_tot: -3.34 eV per atom
- Space-group type: P4/mmm (123)

---

[8]
Material: Sm6HOs2I3
Method: DFT, PBE
State: relaxed

abc: 7.069 7.069 8.388
angles: 98.07 98.07 120.02
Fractional positions:
1 Sm 0.100 0.439 0.816
2 Sm 0.223 0.223 0.183
3 Sm 0.439 0.100 0.816
4 Sm 0.561 0.900 0.184
5 Sm 0.777 0.777 0.817
6 Sm 0.900 0.561 0.184
7 H 0.500 0.500 0.000
8 Os 0.167 0.833 0.000
9 Os 0.833 0.167 0.000
10 I 0.000 0.000 0.500
11 I 0.332 0.668 0.500
12 I 0.668 0.332 0.500

Computed properties:
- Calculated volume: 348.3 Å³/cell
- E_tot: -5.51 eV per atom
- Space-group type: C2/m (12)

---

[9]
Material: Sn2HOsI
Method: DFT, PBE
State: relaxed

abc: 5.792 5.792 3.432
angles: 90.00 90.00 90.00
Fractional positions:
1 Sn 0.000 0.500 0.000
2 Sn 0.500 0.000 0.000
3 H 0.000 0.000 0.500
4 Os 0.500 0.500 0.500
5 I 0.000 0.000 0.000

Computed properties:
- Calculated volume: 115.1 Å³/cell
- E_tot: -3.46 eV per atom
- Space-group type: P4/mmm (123)

---

[10]
Material: Te2HOsI
Method: DFT, PBE
State: relaxed

abc: 5.127 5.127 5.939
angles: 90.00 90.00 90.00
Fractional positions:
1 Te 0.000 0.500 0.000
2 Te 0.500 0.000 0.000
3 H 0.000 0.000 0.500
4 Os 0.500 0.500 0.000
5 I 0.500 0.500 0.500

Computed properties:
- Calculated volume: 156.1 Å³/cell
- E_tot: -3.49 eV per atom
- Space-group type: P4/mmm (123)

---

[11]
Material: Te2HOsI
Method: DFT, PBE
State: relaxed

abc: 4.368 4.368 5.144
angles: 90.00 90.00 90.00
Fractional positions:
1 Te 0.000 0.500 0.000
2 Te 0.500 0.000 0.000
3 H 0.000 0.000 0.000
4 Os 0.500 0.500 0.500
5 I 0.000 0.000 0.500

Computed properties:
- Calculated volume: 98.1 Å³/cell
- E_tot: -3.14 eV per atom
- Space-group type: P4/mmm (123)

---

[12]
Material: TeHOsI2
Method: DFT, PBE
State: relaxed

abc: 5.399 5.399 3.686
angles: 90.00 90.00 90.00
Fractional positions:
1 Te 0.000 0.000 0.000
2 H 0.000 0.000 0.500
3 Os 0.500 0.500 0.000
4 I 0.000 0.500 0.500
5 I 0.500 0.000 0.500

Computed properties:
- Calculated volume: 107.5 Å³/cell
- E_tot: -2.69 eV per atom
- Space-group type: P4/mmm (123)